This record from Alexandria via LeMat-Bulk describes a relaxed structure of Nd5TaN6. The functional is PBE.

Unit cell a=6.1381 b=6.1381 c=6.1104 alpha=99.62 beta=99.62 gamma=119.93
Element x y z (fractional)
Nd1 0.0000 0.0000 0.0000
Nd2 0.1670 0.8330 0.5000
Nd3 0.3354 0.6646 0.0000
Nd4 0.6646 0.3354 0.0000
Nd5 0.8330 0.1670 0.5000
Ta1 0.5000 0.5000 0.5000
N1 0.1303 0.4253 0.2771
N2 0.2787 0.2787 0.7313
N3 0.4253 0.1303 0.2771
N4 0.5747 0.8697 0.7229
N5 0.7213 0.7213 0.2687
N6 0.8697 0.5747 0.7229

Summary:
Density of states at the Fermi level ... 2.6 states/eV per cell
Space group ... C2/m
Crystal system ... monoclinic


This record from Alexandria via LeMat-Bulk describes a relaxed structure of Nd2Ta2N5. The functional is PBE.

Unit cell a=6.1712 b=6.1712 c=6.5793 alpha=108.20 beta=108.20 gamma=32.54
Element x y z (fractional)
Nd1 0.1722 0.1722 0.2154
Nd2 0.8278 0.8278 0.7846
Ta1 0.4406 0.4406 0.2642
Ta2 0.5594 0.5594 0.7358
N1 0.1546 0.1546 0.8258
N2 0.3888 0.3888 0.5487
N3 0.5000 0.5000 0.0000
N4 0.6112 0.6112 0.4513
N5 0.8454 0.8454 0.1742

Summary:
Density of states at the Fermi level ... 2.4 states/eV per cell
Space group ... C2/m
Crystal system ... monoclinic


This record from Alexandria via LeMat-Bulk describes a relaxed structure of NdTaN2. The functional is PBE.

Unit cell a=3.2097 b=3.2097 c=17.9013 alpha=90.00 beta=90.00 gamma=120.00
Element x y z (fractional)
Nd1 0.0000 0.0000 0.0000
Nd2 0.3333 0.6667 0.6667
Nd3 0.6667 0.3333 0.3333
Ta1 0.0000 0.0000 0.8246
Ta2 0.3333 0.6667 0.4912
Ta3 0.6667 0.3333 0.1579
N1 0.0000 0.0000 0.4235
N2 0.0000 0.0000 0.5647
N3 0.3333 0.6667 0.0901
N4 0.3333 0.6667 0.2314
N5 0.6667 0.3333 0.7568
N6 0.6667 0.3333 0.8980

Summary:
Density of states at the Fermi level ... 0.2 states/eV per cell
Space group ... R3m
Crystal system ... trigonal


This record from Alexandria via LeMat-Bulk describes a relaxed structure of TbNdTaN3. The functional is PBE.

Unit cell a=6.5579 b=3.3708 c=9.5940 alpha=90.00 beta=95.27 gamma=90.00
Element x y z (fractional)
Tb1 0.1683 0.2500 0.1124
Tb2 0.8317 0.7500 0.8876
Nd1 0.2865 0.7500 0.7514
Nd2 0.7135 0.2500 0.2486
Ta1 0.3596 0.7500 0.4195
Ta2 0.6404 0.2500 0.5805
N1 0.0973 0.2500 0.8745
N2 0.2995 0.2500 0.5284
N3 0.3970 0.7500 0.2173
N4 0.6030 0.2500 0.7827
N5 0.7005 0.7500 0.4716
N6 0.9027 0.7500 0.1255

Summary:
Density of states at the Fermi level ... 3.5 states/eV per cell
Space group ... P2_1/m
Crystal system ... monoclinic


This record from Alexandria via LeMat-Bulk describes a relaxed structure of Tb2Nd3TaN6. The functional is PBE.

Unit cell a=6.0133 b=6.0133 c=6.0693 alpha=99.49 beta=99.49 gamma=119.95
Element x y z (fractional)
Tb1 0.1667 0.8333 0.0000
Tb2 0.8333 0.1667 0.0000
Nd1 0.0000 0.0000 0.5000
Nd2 0.3333 0.6667 0.5000
Nd3 0.6667 0.3333 0.5000
Ta1 0.5000 0.5000 0.0000
N1 0.1223 0.4270 0.7818
N2 0.2685 0.2685 0.2248
N3 0.4270 0.1223 0.7818
N4 0.5730 0.8777 0.2182
N5 0.7315 0.7315 0.7752
N6 0.8777 0.5730 0.2182

Summary:
Density of states at the Fermi level ... 1.9 states/eV per cell
Space group ... C2/m
Crystal system ... monoclinic


This record from Alexandria via LeMat-Bulk describes a relaxed structure of Nd2TaTcN5. The functional is PBE.

Unit cell a=6.9668 b=6.9668 c=10.5490 alpha=90.00 beta=90.00 gamma=152.36
Element x y z (fractional)
Nd1 0.1103 0.8897 0.5000
Nd2 0.1436 0.8564 0.1024
Nd3 0.8564 0.1436 0.6024
Nd4 0.8897 0.1103 0.0000
Ta1 0.2190 0.7810 0.8165
Ta2 0.7810 0.2190 0.3165
Tc1 0.4749 0.5251 0.2654
Tc2 0.5251 0.4749 0.7654
N1 0.0462 0.9538 0.8481
N2 0.2843 0.7157 0.4478
N3 0.3191 0.6809 0.1868
N4 0.3629 0.6371 0.8032
N5 0.4906 0.5094 0.5894
N6 0.5094 0.4906 0.0894
N7 0.6371 0.3629 0.3032
N8 0.6809 0.3191 0.6868
N9 0.7157 0.2843 0.9478
N10 0.9538 0.0462 0.3481

Summary:
Density of states at the Fermi level ... 6.8 states/eV per cell
Space group ... Cmc2_1
Crystal system ... orthorhombic


This record from Alexandria via LeMat-Bulk describes a relaxed structure of NdThTaN3. The functional is PBE.

Unit cell a=7.3482 b=3.6916 c=9.0279 alpha=90.00 beta=99.81 gamma=90.00
Element x y z (fractional)
Nd1 0.1652 0.2500 0.1347
Nd2 0.8348 0.7500 0.8653
Th1 0.3507 0.7500 0.8471
Th2 0.6493 0.2500 0.1529
Ta1 0.0422 0.2500 0.6214
Ta2 0.9578 0.7500 0.3786
N1 0.1068 0.2500 0.8606
N2 0.1341 0.7500 0.5919
N3 0.4113 0.7500 0.1125
N4 0.5887 0.2500 0.8875
N5 0.8659 0.2500 0.4081
N6 0.8932 0.7500 0.1394

Summary:
Density of states at the Fermi level ... 4.7 states/eV per cell
Space group ... P2_1/m
Crystal system ... monoclinic


This record from Alexandria via LeMat-Bulk describes a relaxed structure of Nd2TaTiN5. The functional is PBE.

Unit cell a=6.9514 b=6.9514 c=10.6031 alpha=90.00 beta=90.00 gamma=152.22
Element x y z (fractional)
Nd1 0.1064 0.8936 0.5000
Nd2 0.1397 0.8603 0.1003
Nd3 0.8603 0.1397 0.6003
Nd4 0.8936 0.1064 0.0000
Ta1 0.2180 0.7820 0.8175
Ta2 0.7820 0.2180 0.3175
Ti1 0.4768 0.5232 0.2720
Ti2 0.5232 0.4768 0.7720
N1 0.0561 0.9439 0.8550
N2 0.2799 0.7201 0.4556
N3 0.3111 0.6889 0.1994
N4 0.3683 0.6317 0.8079
N5 0.4965 0.5035 0.5967
N6 0.5035 0.4965 0.0967
N7 0.6317 0.3683 0.3079
N8 0.6889 0.3111 0.6994
N9 0.7201 0.2799 0.9556
N10 0.9439 0.0561 0.3550

Summary:
Density of states at the Fermi level ... 0.2 states/eV per cell
Space group ... Cmc2_1
Crystal system ... orthorhombic


This record from Alexandria via LeMat-Bulk describes a relaxed structure of NdTaTiN3. The functional is PBE.

Unit cell a=6.8186 b=3.3160 c=7.6971 alpha=90.00 beta=105.07 gamma=90.00
Element x y z (fractional)
Nd1 0.1936 0.2500 0.2022
Nd2 0.8064 0.7500 0.7978
Ta1 0.3633 0.7500 0.8783
Ta2 0.6367 0.2500 0.1217
Ti1 0.1251 0.2500 0.6062
Ti2 0.8749 0.7500 0.3938
N1 0.1277 0.2500 0.8650
N2 0.1973 0.7500 0.5033
N3 0.4530 0.7500 0.1695
N4 0.5470 0.2500 0.8305
N5 0.8027 0.2500 0.4967
N6 0.8723 0.7500 0.1350

Summary:
Density of states at the Fermi level ... 2.7 states/eV per cell
Space group ... P2_1/m
Crystal system ... monoclinic


This record from Alexandria via LeMat-Bulk describes a relaxed structure of NdTm2TaN4. The functional is PBE.

Unit cell a=6.1834 b=6.1834 c=11.9913 alpha=90.00 beta=90.00 gamma=148.25
Element x y z (fractional)
Nd1 0.1007 0.8993 0.7500
Nd2 0.8993 0.1007 0.2500
Tm1 0.3707 0.6293 0.5334
Tm2 0.3707 0.6293 0.9666
Tm3 0.6293 0.3707 0.0334
Tm4 0.6293 0.3707 0.4666
Ta1 0.1606 0.8394 0.2500
Ta2 0.8394 0.1606 0.7500
N1 0.0000 0.0000 0.0000
N2 0.0000 0.0000 0.5000
N3 0.2580 0.7420 0.1187
N4 0.2580 0.7420 0.3813
N5 0.4424 0.5576 0.7500
N6 0.5576 0.4424 0.2500
N7 0.7420 0.2580 0.6187
N8 0.7420 0.2580 0.8813

Summary:
Density of states at the Fermi level ... 4.1 states/eV per cell
Space group ... Cmcm
Crystal system ... orthorhombic


This record from Alexandria via LeMat-Bulk describes a relaxed structure of Nd2TaVN5. The functional is PBE.

Unit cell a=6.9340 b=6.9340 c=10.4268 alpha=90.00 beta=90.00 gamma=152.29
Element x y z (fractional)
Nd1 0.1098 0.8902 0.5000
Nd2 0.1426 0.8574 0.1103
Nd3 0.8574 0.1426 0.6103
Nd4 0.8902 0.1098 0.0000
Ta1 0.2161 0.7839 0.8228
Ta2 0.7839 0.2161 0.3228
V1 0.4701 0.5299 0.2659
V2 0.5299 0.4701 0.7659
N1 0.0472 0.9528 0.8477
N2 0.2855 0.7145 0.4571
N3 0.3183 0.6817 0.1946
N4 0.3629 0.6371 0.8115
N5 0.4937 0.5063 0.6019
N6 0.5063 0.4937 0.1019
N7 0.6371 0.3629 0.3115
N8 0.6817 0.3183 0.6946
N9 0.7145 0.2855 0.9571
N10 0.9528 0.0472 0.3477

Summary:
Density of states at the Fermi level ... 4.2 states/eV per cell
Space group ... Cmc2_1
Crystal system ... orthorhombic


This record from Alexandria via LeMat-Bulk describes a relaxed structure of Nd2YTaN4. The functional is PBE.

Unit cell a=5.9199 b=3.4033 c=6.0434 alpha=90.00 beta=108.67 gamma=90.00
Element x y z (fractional)
Nd1 0.0000 0.0000 0.0000
Nd2 0.5000 0.5000 0.0000
Y1 0.0000 0.5000 0.5000
Ta1 0.5000 0.0000 0.5000
N1 0.2660 0.0000 0.7157
N2 0.2817 0.5000 0.2900
N3 0.7183 0.5000 0.7100
N4 0.7340 0.0000 0.2843

Summary:
Density of states at the Fermi level ... 1.8 states/eV per cell
Space group ... P2/m
Crystal system ... monoclinic


This record from Alexandria via LeMat-Bulk describes a relaxed structure of Nd3Y2TaN6. The functional is PBE.

Unit cell a=5.9988 b=5.9988 c=6.0658 alpha=99.47 beta=99.47 gamma=119.95
Element x y z (fractional)
Nd1 0.0000 0.0000 0.0000
Nd2 0.3331 0.6669 0.0000
Nd3 0.6669 0.3331 0.0000
Y1 0.1667 0.8333 0.5000
Y2 0.8333 0.1667 0.5000
Ta1 0.5000 0.5000 0.5000
N1 0.1214 0.4271 0.2819
N2 0.2675 0.2675 0.7243
N3 0.4271 0.1214 0.2819
N4 0.5729 0.8786 0.7181
N5 0.7325 0.7325 0.2757
N6 0.8786 0.5729 0.7181

Summary:
Density of states at the Fermi level ... 1.9 states/eV per cell
Space group ... C2/m
Crystal system ... monoclinic


This record from Alexandria via LeMat-Bulk describes a relaxed structure of Tb5NdN6. The functional is PBE.

Unit cell a=6.1059 b=6.1059 c=6.1038 alpha=99.59 beta=99.59 gamma=120.01
Element x y z (fractional)
Tb1 0.0000 0.0000 0.0000
Tb2 0.1665 0.8335 0.5000
Tb3 0.3324 0.6676 0.0000
Tb4 0.6676 0.3324 0.0000
Tb5 0.8335 0.1665 0.5000
Nd1 0.5000 0.5000 0.5000
N1 0.0761 0.4156 0.2468
N2 0.2447 0.2447 0.7529
N3 0.4156 0.0761 0.2468
N4 0.5844 0.9239 0.7532
N5 0.7553 0.7553 0.2471
N6 0.9239 0.5844 0.7532

Summary:
Density of states at the Fermi level ... 0.4 states/eV per cell
Space group ... C2/m
Crystal system ... monoclinic


This record from Alexandria via LeMat-Bulk describes a relaxed structure of Tb2Nd2N3. The functional is PBE.

Unit cell a=11.8872 b=3.5599 c=6.3018 alpha=90.00 beta=99.38 gamma=90.00
Element x y z (fractional)
Tb1 0.1272 0.0000 0.3933
Tb2 0.3728 0.5000 0.6067
Tb3 0.6272 0.5000 0.3933
Tb4 0.8728 0.0000 0.6067
Nd1 0.1323 0.5000 0.8640
Nd2 0.3677 0.0000 0.1360
Nd3 0.6323 0.0000 0.8640
Nd4 0.8677 0.5000 0.1360
N1 0.0000 0.5000 0.5000
N2 0.2475 0.0000 0.7364
N3 0.2525 0.5000 0.2636
N4 0.5000 0.0000 0.5000
N5 0.7475 0.5000 0.7364
N6 0.7525 0.0000 0.2636

Summary:
Density of states at the Fermi level ... 7.6 states/eV per cell
Space group ... C2/m
Crystal system ... monoclinic


This record from Alexandria via LeMat-Bulk describes a relaxed structure of TbNd5N6. The functional is PBE.

Unit cell a=6.2833 b=6.2833 c=6.2832 alpha=99.59 beta=99.59 gamma=119.99
Element x y z (fractional)
Tb1 0.0000 0.0000 0.0000
Nd1 0.1656 0.8344 0.5000
Nd2 0.3331 0.6669 0.0000
Nd3 0.5000 0.5000 0.5000
Nd4 0.6669 0.3331 0.0000
Nd5 0.8344 0.1656 0.5000
N1 0.0822 0.4094 0.2464
N2 0.2447 0.2447 0.7525
N3 0.4094 0.0822 0.2464
N4 0.5906 0.9178 0.7536
N5 0.7553 0.7553 0.2475
N6 0.9178 0.5906 0.7536

Summary:
Density of states at the Fermi level ... 0.7 states/eV per cell
Space group ... C2/m
Crystal system ... monoclinic


This record from Alexandria via LeMat-Bulk describes a relaxed structure of TbNd3N4. The functional is PBE.

Unit cell a=5.1153 b=5.1153 c=5.1153 alpha=90.00 beta=90.00 gamma=90.00
Element x y z (fractional)
Tb1 0.0000 0.0000 0.0000
Nd1 0.0000 0.5000 0.5000
Nd2 0.5000 0.0000 0.5000
Nd3 0.5000 0.5000 0.0000
N1 0.0000 0.0000 0.5000
N2 0.0000 0.5000 0.0000
N3 0.5000 0.0000 0.0000
N4 0.5000 0.5000 0.5000

Summary:
Density of states at the Fermi level ... 1.9 states/eV per cell
Polymorph energy (0 for the lowest one) ... 8.5 meV/atom
Space group ... Pm-3m
Crystal system ... cubic


This record from Alexandria via LeMat-Bulk describes a relaxed structure of TbNdN2. The functional is PBE.

Unit cell a=3.5126 b=3.5126 c=18.2922 alpha=90.00 beta=90.00 gamma=120.00
Element x y z (fractional)
Tb1 0.0000 0.0000 0.0000
Tb2 0.3333 0.6667 0.6667
Tb3 0.6667 0.3333 0.3333
Nd1 0.0000 0.0000 0.1704
Nd2 0.3333 0.6667 0.8370
Nd3 0.6667 0.3333 0.5037
N1 0.0000 0.0000 0.5804
N2 0.0000 0.0000 0.7434
N3 0.3333 0.6667 0.2470
N4 0.3333 0.6667 0.4100
N5 0.6667 0.3333 0.0767
N6 0.6667 0.3333 0.9137

Summary:
Space group ... R3m
Crystal system ... trigonal


This record from Alexandria via LeMat-Bulk describes a relaxed structure of Tb2NdN. The functional is PBE.

Unit cell a=3.4798 b=3.4798 c=28.9698 alpha=90.00 beta=90.00 gamma=120.00
Element x y z (fractional)
Tb1 0.0000 0.0000 0.1207
Tb2 0.0000 0.0000 0.8793
Tb3 0.3333 0.6667 0.5460
Tb4 0.3333 0.6667 0.7873
Tb5 0.6667 0.3333 0.2127
Tb6 0.6667 0.3333 0.4540
Nd1 0.0000 0.0000 0.0000
Nd2 0.3333 0.6667 0.6667
Nd3 0.6667 0.3333 0.3333
N1 0.0000 0.0000 0.5000
N2 0.3333 0.6667 0.1667
N3 0.6667 0.3333 0.8333

Summary:
Density of states at the Fermi level ... 14.0 states/eV per cell
Polymorph energy (0 for the lowest one) ... 0.0 meV/atom
Space group ... R-3m
Crystal system ... trigonal


This record from Alexandria via LeMat-Bulk describes a relaxed structure of Tb2NdN. The functional is PBE.

Unit cell a=3.1904 b=3.1904 c=9.0002 alpha=90.00 beta=90.00 gamma=90.00
Element x y z (fractional)
Tb1 0.0000 0.0000 0.1578
Tb2 0.0000 0.0000 0.8422
Nd1 0.5000 0.5000 0.5000
N1 0.5000 0.5000 0.0000

Summary:
Density of states at the Fermi level ... 4.7 states/eV per cell
Polymorph energy (0 for the lowest one) ... 508.1 meV/atom
Space group ... P4/mmm
Crystal system ... tetragonal


The evaluated uncorrected formation energy for the records listed, in turn: -1.315 -1.227 -1.092 -1.080 -1.429 -0.954 -1.103 -1.339 -1.099 -1.334 -1.219 -1.361 -1.435 -1.602 -1.270 -1.401 -1.413 -1.256 -0.684 -0.175 eV per atom.